{"formula": "LaNd5Te6", "functional": "PBE", "state": "optimized geometry", "lattice": [[3.9040, -6.7882, 0.0000], [3.9040, 6.7882, 0.0000], [-2.6211, 0.0000, 7.3564]], "species": ["La", "Nd", "Nd", "Nd", "Nd", "Nd", "Te", "Te", "Te", "Te", "Te", "Te"], "fractional_positions": [[0.0000, 0.0000, 0.0000], [0.1656, 0.8344, 0.5000], [0.3316, 0.6684, 0.0000], [0.5000, 0.5000, 0.5000], [0.6684, 0.3316, 0.0000], [0.8344, 0.1656, 0.5000], [0.0849, 0.4202, 0.2526], [0.2534, 0.2534, 0.7506], [0.4202, 0.0849, 0.2526], [0.5798, 0.9151, 0.7474], [0.7466, 0.7466, 0.2494], [0.9151, 0.5798, 0.7474]], "raw_formation_energy_mev_per_atom": -1454.8, "e_tot_ev_per_atom": -5.42, "vol_a3_per_fu": 389.91, "density_g_cm3": 6.92, "n_ef_per_ev_cell": 6.3}